(1)
The following is a PBE calculation of a relaxed structure of Dy3Ho2In, from the Alexandria database.

a b c (Å): 5.7117 6.4049 10.1162
angles (deg): 90.00 90.00 90.00
Space group Immm (No. 71)
Unique sites:
Dy  0.0000  0.0000  0.0000
Dy  0.0000  0.0000  0.3447
Ho  0.0000  0.5000  0.3169
In  0.0000  0.5000  0.0000

Properties
D(E_F)	17.92	states/eV/cell
total magnetization	0.00	μB per formula unit
excess energy over the best structure of this formula in the dataset	0.376	eV per atom

---

(2)
The following is a PBE calculation of a relaxed structure of Dy12Ho5In3, from the Alexandria database.

a b c (Å): 18.4795 18.4795 18.4795
angles (deg): 90.00 90.00 90.00
Space group Ia-3d (No. 230)
Unique sites:
Dy  0.0010  0.0795  0.6511
Ho  0.0000  0.0000  0.0000
Ho  0.0000  0.2500  0.3750
In  0.0000  0.2500  0.1250

Properties
D(E_F)	253.84	states/eV/cell
total magnetization	0.00	μB per formula unit

---

(3)
The following is a PBE calculation of a relaxed structure of DyHo4In, from the Alexandria database.

a b c (Å): 3.5477 3.5477 14.1963
angles (deg): 90.00 90.00 90.00
Space group P4/mmm (No. 123)
Unique sites:
Dy  0.0000  0.0000  0.0000
Ho  0.0000  0.0000  0.3515
Ho  0.5000  0.5000  0.1758
In  0.5000  0.5000  0.5000

Properties
D(E_F)	6.21	states/eV/cell
total magnetization	0.00	μB per formula unit
excess energy over the best structure of this formula in the dataset	0.000	eV per atom

---

(4)
The following is a PBE calculation of a relaxed structure of Dy3Ho2In, from the Alexandria database.

a b c (Å): 4.8628 15.0127 4.8475
angles (deg): 90.00 90.00 90.00
Space group Cmmm (No. 65)
Unique sites:
Dy  0.0000  0.0000  0.0000
Dy  0.0000  0.3318  0.0000
Ho  0.0000  0.1622  0.5000
In  0.0000  0.5000  0.5000

Properties
D(E_F)	13.52	states/eV/cell
total magnetization	0.00	μB per formula unit
excess energy over the best structure of this formula in the dataset	0.000	eV per atom

---

(5)
The following is a PBE calculation of a relaxed structure of DyHo5In4, from the Alexandria database.

a b c (Å): 3.5566 3.5566 21.6292
angles (deg): 90.00 90.00 90.00
Space group P4/mmm (No. 123)
Unique sites:
Dy  0.0000  0.0000  0.0000
Ho  0.5000  0.5000  0.1143
Ho  0.5000  0.5000  0.3066
Ho  0.5000  0.5000  0.5000
In  0.0000  0.0000  0.2105
In  0.0000  0.0000  0.4034

Properties
D(E_F)	7.14	states/eV/cell
total magnetization	0.00	μB per formula unit

---

(6)
The following is a PBE calculation of a relaxed structure of Dy3Ho4In2, from the Alexandria database.

a b c (Å): 12.4527 5.2756 8.3594
angles (deg): 90.00 105.06 90.00
Space group C2/m (No. 12)
Unique sites:
Dy  0.0000  0.0000  0.0000
Dy  0.0754  0.5000  0.3456
Ho  0.1216  0.0000  0.6576
Ho  0.1690  0.5000  0.9654
In  0.2125  0.0000  0.3177

Properties
D(E_F)	19.09	states/eV/cell
total magnetization	0.00	μB per formula unit

---

(7)
The following is a PBE calculation of a relaxed structure of Dy2Ho5In4, from the Alexandria database.

a b c (Å): 3.4388 8.4823 28.6728
angles (deg): 90.00 90.00 90.00
Space group Immm (No. 71)
Unique sites:
Dy  0.0000  0.0000  0.0960
Ho  0.0000  0.1957  0.2021
Ho  0.0000  0.5000  0.5000
In  0.0000  0.0000  0.3026
In  0.0000  0.3202  0.0000

Properties
D(E_F)	27.49	states/eV/cell
total magnetization	0.00	μB per formula unit
excess energy over the best structure of this formula in the dataset	0.545	eV per atom

---

(8)
The following is a PBE calculation of a relaxed structure of Dy2Ho3In6, from the Alexandria database.

a b c (Å): 5.7800 5.7800 22.3975
angles (deg): 90.00 90.00 90.00
Space group I4/mmm (No. 139)
Unique sites:
Dy  0.0000  0.0000  0.0786
Ho  0.0000  0.0000  0.3558
Ho  0.0000  0.0000  0.5000
In  0.0000  0.0000  0.2176
In  0.0000  0.5000  0.0687

Properties
D(E_F)	27.52	states/eV/cell
total magnetization	0.00	μB per formula unit

---

Short version: uncorrected energy = -48.8, -562.2, -26.6, -53.3, -42.1, -78.7, -79.3, -76.3 eV per cell, in the order given.